Entry 1:
# PBE-GGA Na4Hf3ScS8, relaxed
# formation energy from raw total energies	-1.53	eV/atom
# crystal system	trigonal
data_Na4Hf3ScS8
_symmetry_space_group_name_H-M 'R -3 m'
_symmetry_Int_Tables_number 166
_symmetry_space_group_name_Hall '-R 3 2"'
_cell_length_a 7.3525
_cell_length_b 7.3525
_cell_length_c 20.2933
_cell_angle_alpha 90.00
_cell_angle_beta 90.00
_cell_angle_gamma 120.00
loop_
_atom_site_label
_atom_site_type_symbol
_atom_site_fract_x
_atom_site_fract_y
_atom_site_fract_z
_atom_site_occupancy
Na1 Na 0.0000 0.0000 0.0000 1
Na2 Na 0.0000 0.5000 0.0000 1
Hf1 Hf 0.0000 0.5000 0.5000 1
Sc1 Sc 0.0000 0.0000 0.5000 1
S1 S 0.0000 0.0000 0.2406 1
S2 S 0.0025 0.5012 0.7597 1

***

Entry 2:
# PBE-GGA Na3HfSc2S6, relaxed
# formation energy from raw total energies	-1.65	eV/atom
# crystal system	monoclinic
data_Na3HfSc2S6
_symmetry_space_group_name_H-M 'C 1 2/m 1'
_symmetry_Int_Tables_number 12
_symmetry_space_group_name_Hall '-C 2y'
_cell_length_a 6.461
_cell_length_b 11.191
_cell_length_c 7.023
_cell_angle_alpha 90.00
_cell_angle_beta 107.87
_cell_angle_gamma 90.00
loop_
_atom_site_label
_atom_site_type_symbol
_atom_site_fract_x
_atom_site_fract_y
_atom_site_fract_z
_atom_site_occupancy
Na1 Na 0.000 0.000 0.000 1
Na2 Na 0.000 0.332 0.000 1
Hf1 Hf 0.000 0.500 0.500 1
Sc1 Sc 0.000 0.167 0.500 1
S1 S 0.237 0.336 0.719 1
S2 S 0.244 0.000 0.719 1